[1]
# CdTeMo GGA-PBE optimized geometry
# polymorph energy (0 for the lowest one): 0.000 eV/atom
# DOS at the Fermi energy: 0.49 states/eV/atom
# formation energy without anion corrections: 0.2129 eV per atom
data_CdTeMo
_cell_length_a 3.331
_cell_length_b 3.331
_cell_length_c 7.136
_cell_angle_alpha 90.00
_cell_angle_beta 90.00
_cell_angle_gamma 120.00
_symmetry_space_group_name_H-M 'P 1'
_symmetry_Int_Tables_number 1
_symmetry_space_group_name_Hall 'P 1'
loop_
_atom_site_label
_atom_site_type_symbol
_atom_site_fract_x
_atom_site_fract_y
_atom_site_fract_z
Cd1 Cd 0.000 0.000 0.000
Te1 Te 0.333 0.667 0.570
Mo1 Mo 0.667 0.333 0.312

---

[2]
# TlSb2 GGA-PBE optimized geometry
# DOS at the Fermi energy: 0.48 states/eV/atom
# formation energy without anion corrections: 0.2373 eV per atom
data_TlSb2
_cell_length_a 6.414
_cell_length_b 6.414
_cell_length_c 6.414
_cell_angle_alpha 102.32
_cell_angle_beta 102.32
_cell_angle_gamma 124.99
_symmetry_space_group_name_H-M 'P 1'
_symmetry_Int_Tables_number 1
_symmetry_space_group_name_Hall 'P 1'
loop_
_atom_site_label
_atom_site_type_symbol
_atom_site_fract_x
_atom_site_fract_y
_atom_site_fract_z
Tl1 Tl 0.250 0.250 0.000
Tl2 Tl 0.750 0.750 0.000
Sb1 Sb 0.122 0.622 0.745
Sb2 Sb 0.378 0.122 0.500
Sb3 Sb 0.622 0.878 0.500
Sb4 Sb 0.878 0.378 0.255

---

[3]
# KAs3 GGA-PBE optimized geometry
# polymorph energy (0 for the lowest one): 0.103 eV/atom
# DOS at the Fermi energy: 0.48 states/eV/atom
# ΔH_f (0 K): -0.1 eV per formula unit
data_KAs3
_cell_length_a 6.699
_cell_length_b 6.699
_cell_length_c 6.343
_cell_angle_alpha 90.09
_cell_angle_beta 90.09
_cell_angle_gamma 120.01
_symmetry_space_group_name_H-M 'P 1'
_symmetry_Int_Tables_number 1
_symmetry_space_group_name_Hall 'P 1'
loop_
_atom_site_label
_atom_site_type_symbol
_atom_site_fract_x
_atom_site_fract_y
_atom_site_fract_z
K1 K 0.167 0.833 0.750
K2 K 0.833 0.167 0.250
As1 As 0.077 0.289 0.750
As2 As 0.289 0.077 0.250
As3 As 0.289 0.711 0.250
As4 As 0.711 0.289 0.750
As5 As 0.711 0.923 0.750
As6 As 0.923 0.711 0.250

---

[4]
# AlSbTe2 GGA-PBE optimized geometry
# polymorph energy (0 for the lowest one): 0.139 eV/atom
# DOS at the Fermi energy: 0.45 states/eV/atom
# formation energy without anion corrections: 0.0521 eV per atom
data_AlSbTe2
_cell_length_a 6.653
_cell_length_b 6.653
_cell_length_c 6.653
_cell_angle_alpha 146.03
_cell_angle_beta 135.51
_cell_angle_gamma 57.13
_symmetry_space_group_name_H-M 'P 1'
_symmetry_Int_Tables_number 1
_symmetry_space_group_name_Hall 'P 1'
loop_
_atom_site_label
_atom_site_type_symbol
_atom_site_fract_x
_atom_site_fract_y
_atom_site_fract_z
Al1 Al 0.000 0.000 0.000
Sb1 Sb 0.810 0.310 0.500
Te1 Te 0.167 0.667 0.500
Te2 Te 0.457 0.457 0.000

---

[5]
# NdRhPb GGA-PBE optimized geometry
# DOS at the Fermi energy: 0.70 states/eV/atom
# ΔH_f (0 K): -1.2 eV per formula unit
data_NdRhPb
_cell_length_a 6.407
_cell_length_b 6.407
_cell_length_c 6.407
_cell_angle_alpha 148.54
_cell_angle_beta 148.54
_cell_angle_gamma 45.08
_symmetry_space_group_name_H-M 'P 1'
_symmetry_Int_Tables_number 1
_symmetry_space_group_name_Hall 'P 1'
loop_
_atom_site_label
_atom_site_type_symbol
_atom_site_fract_x
_atom_site_fract_y
_atom_site_fract_z
Nd1 Nd 0.000 0.000 0.000
Rh1 Rh 0.351 0.351 0.000
Pb1 Pb 0.713 0.713 0.000

---

[6]
# Li2YW GGA-PBE optimized geometry
# polymorph energy (0 for the lowest one): 0.248 eV/atom
# DOS at the Fermi energy: 1.08 states/eV/atom
# ΔH_f (0 K): 2.8 eV per formula unit
data_Li2YW
_cell_length_a 5.467
_cell_length_b 5.467
_cell_length_c 2.791
_cell_angle_alpha 90.00
_cell_angle_beta 90.00
_cell_angle_gamma 116.37
_symmetry_space_group_name_H-M 'P 1'
_symmetry_Int_Tables_number 1
_symmetry_space_group_name_Hall 'P 1'
loop_
_atom_site_label
_atom_site_type_symbol
_atom_site_fract_x
_atom_site_fract_y
_atom_site_fract_z
Li1 Li 0.000 0.500 0.000
Li2 Li 0.500 0.000 0.000
Y1 Y 0.000 0.000 0.500
W1 W 0.500 0.500 0.500

---

[7]
# CsSc2Bi2 GGA-PBE optimized geometry
# polymorph energy (0 for the lowest one): 0.000 eV/atom
# DOS at the Fermi energy: 0.43 states/eV/atom
# ΔH_f (0 K): -2.6 eV per formula unit
data_CsSc2Bi2
_cell_length_a 8.712
_cell_length_b 8.712
_cell_length_c 8.712
_cell_angle_alpha 146.90
_cell_angle_beta 146.90
_cell_angle_gamma 47.52
_symmetry_space_group_name_H-M 'P 1'
_symmetry_Int_Tables_number 1
_symmetry_space_group_name_Hall 'P 1'
loop_
_atom_site_label
_atom_site_type_symbol
_atom_site_fract_x
_atom_site_fract_y
_atom_site_fract_z
Cs1 Cs 0.000 0.000 0.000
Sc1 Sc 0.250 0.750 0.500
Sc2 Sc 0.750 0.250 0.500
Bi1 Bi 0.354 0.354 0.000
Bi2 Bi 0.646 0.646 0.000

---

[8]
# AcSiPd2 GGA-PBE optimized geometry
# DOS at the Fermi energy: 0.84 states/eV/atom
# formation energy without anion corrections: -0.3489 eV per atom
data_AcSiPd2
_cell_length_a 3.306
_cell_length_b 3.306
_cell_length_c 7.307
_cell_angle_alpha 90.00
_cell_angle_beta 90.00
_cell_angle_gamma 90.00
_symmetry_space_group_name_H-M 'P 1'
_symmetry_Int_Tables_number 1
_symmetry_space_group_name_Hall 'P 1'
loop_
_atom_site_label
_atom_site_type_symbol
_atom_site_fract_x
_atom_site_fract_y
_atom_site_fract_z
Ac1 Ac 0.000 0.000 0.000
Si1 Si 0.000 0.000 0.500
Pd1 Pd 0.500 0.500 0.314
Pd2 Pd 0.500 0.500 0.686

---

[9]
# YSiIr2 GGA-PBE optimized geometry
# DOS at the Fermi energy: 0.78 states/eV/atom
# formation energy without anion corrections: -0.4470 eV per atom
data_YSiIr2
_cell_length_a 3.071
_cell_length_b 4.450
_cell_length_c 5.306
_cell_angle_alpha 90.00
_cell_angle_beta 105.23
_cell_angle_gamma 90.00
_symmetry_space_group_name_H-M 'P 1'
_symmetry_Int_Tables_number 1
_symmetry_space_group_name_Hall 'P 1'
loop_
_atom_site_label
_atom_site_type_symbol
_atom_site_fract_x
_atom_site_fract_y
_atom_site_fract_z
Y1 Y 0.000 0.000 0.000
Si1 Si 0.371 0.500 0.691
Ir1 Ir 0.329 0.000 0.526
Ir2 Ir 0.700 0.500 0.300

---

[10]
# Nd2CdSb GGA-PBE optimized geometry
# polymorph energy (0 for the lowest one): 0.000 eV/atom
# DOS at the Fermi energy: 1.01 states/eV/atom
# formation energy without anion corrections: -0.6682 eV per atom
data_Nd2CdSb
_cell_length_a 4.051
_cell_length_b 4.051
_cell_length_c 7.038
_cell_angle_alpha 90.00
_cell_angle_beta 90.00
_cell_angle_gamma 90.00
_symmetry_space_group_name_H-M 'P 1'
_symmetry_Int_Tables_number 1
_symmetry_space_group_name_Hall 'P 1'
loop_
_atom_site_label
_atom_site_type_symbol
_atom_site_fract_x
_atom_site_fract_y
_atom_site_fract_z
Nd1 Nd 0.000 0.000 0.243
Nd2 Nd 0.000 0.000 0.757
Cd1 Cd 0.500 0.500 0.500
Sb1 Sb 0.500 0.500 0.000

---

[11]
# Tb2CeIr GGA-PBE optimized geometry
# polymorph energy (0 for the lowest one): 0.159 eV/atom
# DOS at the Fermi energy: 1.58 states/eV/atom
# ΔH_f (0 K): -1.4 eV per formula unit
data_Tb2CeIr
_cell_length_a 3.479
_cell_length_b 3.479
_cell_length_c 8.762
_cell_angle_alpha 90.00
_cell_angle_beta 90.00
_cell_angle_gamma 90.00
_symmetry_space_group_name_H-M 'P 1'
_symmetry_Int_Tables_number 1
_symmetry_space_group_name_Hall 'P 1'
loop_
_atom_site_label
_atom_site_type_symbol
_atom_site_fract_x
_atom_site_fract_y
_atom_site_fract_z
Tb1 Tb 0.000 0.000 0.188
Tb2 Tb 0.000 0.000 0.812
Ce1 Ce 0.500 0.500 0.500
Ir1 Ir 0.500 0.500 0.000

---

[12]
# LaMn2Sb GGA-PBE optimized geometry
# DOS at the Fermi energy: 1.18 states/eV/atom
# formation energy without anion corrections: 0.1937 eV per atom
data_LaMn2Sb
_cell_length_a 9.761
_cell_length_b 9.761
_cell_length_c 9.761
_cell_angle_alpha 152.03
_cell_angle_beta 152.03
_cell_angle_gamma 39.97
_symmetry_space_group_name_H-M 'P 1'
_symmetry_Int_Tables_number 1
_symmetry_space_group_name_Hall 'P 1'
loop_
_atom_site_label
_atom_site_type_symbol
_atom_site_fract_x
_atom_site_fract_y
_atom_site_fract_z
La1 La 0.000 0.000 0.000
La2 La 0.750 0.250 0.500
Mn1 Mn 0.325 0.625 0.200
Mn2 Mn 0.375 0.575 0.700
Mn3 Mn 0.425 0.125 0.800
Mn4 Mn 0.875 0.675 0.300
Sb1 Sb 0.250 0.750 0.500
Sb2 Sb 0.500 0.500 0.000